YSc4Tl: relaxed, PBE.

abc: 9.5312 9.5312 6.9735
angles: 90.00 90.00 150.31
With the nearest neighbours (Å) after each atom.
Sites, in units of the cell vectors:
Y 0.1202 0.8798 0.7500  7 Sc 3.27-3.63
Y 0.8798 0.1202 0.2500  7 Sc 3.27-3.63
Sc 0.0648 0.9352 0.2500  1 Tl 2.90, 4 Sc 3.23
Sc 0.3336 0.6664 0.5364  3 Tl 2.86-3.04, 2 Sc 2.98-3.08
Sc 0.3336 0.6664 0.9636  3 Tl 2.86-3.04, 2 Sc 2.98-3.08
Sc 0.5000 0.5000 0.0000  6 Sc 3.08-3.23
Sc 0.5000 0.5000 0.5000  6 Sc 3.08-3.23
Sc 0.6664 0.3336 0.0364  3 Tl 2.86-3.04, 2 Sc 2.98-3.08
Sc 0.6664 0.3336 0.4636  3 Tl 2.86-3.04, 2 Sc 2.98-3.08
Sc 0.9352 0.0648 0.7500  1 Tl 2.90, 4 Sc 3.23
Tl 0.2221 0.7779 0.2500  7 Sc 2.86-3.04
Tl 0.7779 0.2221 0.7500  7 Sc 2.86-3.04

Computed properties:
- Energy of formation from the pure elements: -0.02 eV/f.u.
- Electronic total energy: -0.2093 Ha/atom
- Theoretical density: 5.008 Mg/m³
- Energy relative to the lowest polymorph listed for this composition: 0 meV per atom
- SG: No. 63